FeCu2Rh3 | PBE | optimized geometry

Structure (CIF):
```
data_FeCu2Rh3
_chemical_formula_sum 'Fe4 Cu8 Rh12'
_cell_length_a 4.275
_cell_length_b 12.830
_cell_length_c 5.823
_cell_angle_alpha 90.00
_cell_angle_beta 90.00
_cell_angle_gamma 90.00
_space_group_name_H-M_alt 'C m m m'
_space_group_IT_number 65
_space_group_name_Hall '-C 2 2'
loop_
_atom_site_label
_atom_site_fract_x
_atom_site_fract_y
_atom_site_fract_z
Fe1 0.000 0.165 0.000
Cu1 0.000 0.167 0.500
Cu2 0.000 0.500 0.000
Cu3 0.000 0.500 0.500
Rh1 0.000 0.000 0.251
Rh2 0.000 0.332 0.247
```

Results
DFT total energy ... -6.404 eV/atom
Formation enthalpy at 0 K ... 47 meV per atom
Magnetization ... 19.07 Bohr magnetons per cell

***

Ag3Mo | PBE | optimized geometry

Structure (CIF):
```
data_Ag3Mo
_chemical_formula_sum 'Ag6 Mo2'
_cell_length_a 5.993
_cell_length_b 8.528
_cell_length_c 2.734
_cell_angle_alpha 90.00
_cell_angle_beta 90.00
_cell_angle_gamma 90.00
_space_group_name_H-M_alt 'C m m m'
_space_group_IT_number 65
_space_group_name_Hall '-C 2 2'
loop_
_atom_site_label
_atom_site_fract_x
_atom_site_fract_y
_atom_site_fract_z
Ag1 0.000 0.000 0.000
Ag2 0.250 0.250 0.500
Mo1 0.000 0.500 0.000
```

Results
DFT total energy ... -4.338 eV/atom
Energy above the lowest structure with this stoichiometry ... 210 meV per atom
Formation enthalpy at 0 K ... 509 meV per atom
Magnetization ... 2.91 Bohr magnetons per cell

***

TaCuAu | PBE | optimized geometry

Structure (CIF):
```
data_TaCuAu
_chemical_formula_sum 'Ta4 Cu4 Au4'
_cell_length_a 5.947
_cell_length_b 5.947
_cell_length_c 5.947
_cell_angle_alpha 90.00
_cell_angle_beta 90.00
_cell_angle_gamma 90.00
_space_group_name_H-M_alt 'F -4 3 m'
_space_group_IT_number 216
_space_group_name_Hall 'F -4 2 3'
loop_
_atom_site_label
_atom_site_fract_x
_atom_site_fract_y
_atom_site_fract_z
Ta1 0.000 0.000 0.000
Cu1 0.250 0.250 0.750
Au1 0.000 0.000 0.500
```

Results
DFT total energy ... -6.037 eV/atom
Energy above the lowest structure with this stoichiometry ... 377 meV per atom
Formation enthalpy at 0 K ... 372 meV per atom
Magnetization ... 0.00 Bohr magnetons per cell

***

MgFeMo2 | PBE | optimized geometry

Structure (CIF):
```
data_MgFeMo2
_chemical_formula_sum 'Mg1 Fe1 Mo2'
_cell_length_a 3.282
_cell_length_b 3.282
_cell_length_c 5.867
_cell_angle_alpha 90.00
_cell_angle_beta 90.00
_cell_angle_gamma 90.00
_space_group_name_H-M_alt 'P 4/m m m'
_space_group_IT_number 123
_space_group_name_Hall '-P 4 2'
loop_
_atom_site_label
_atom_site_fract_x
_atom_site_fract_y
_atom_site_fract_z
Mg1 0.000 0.000 0.000
Fe1 0.000 0.000 0.500
Mo1 0.500 0.500 0.296
```

Results
DFT total energy ... -7.571 eV/atom
Formation enthalpy at 0 K ... 358 meV per atom
Magnetization ... 1.83 Bohr magnetons per cell

***

Ag2IF2 | PBE | optimized geometry

Structure (CIF):
```
data_Ag2IF2
_chemical_formula_sum 'Ag4 I2 F4'
_cell_length_a 3.980
_cell_length_b 3.980
_cell_length_c 11.277
_cell_angle_alpha 90.00
_cell_angle_beta 90.00
_cell_angle_gamma 90.00
_space_group_name_H-M_alt 'I 4/m m m'
_space_group_IT_number 139
_space_group_name_Hall '-I 4 2'
loop_
_atom_site_label
_atom_site_fract_x
_atom_site_fract_y
_atom_site_fract_z
Ag1 0.000 0.000 0.134
I1 0.000 0.000 0.500
F1 0.000 0.500 0.250
```

Results
DFT total energy ... -2.903 eV/atom
Energy above the lowest structure with this stoichiometry ... 83 meV per atom
Formation energy (no corrections) ... -704 meV/atom
Magnetization ... 0.00 Bohr magnetons per cell

***

YSc2SiO | PBE | optimized geometry

Structure (CIF):
```
data_YSc2SiO
_chemical_formula_sum 'Y1 Sc2 Si1 O1'
_cell_length_a 4.326
_cell_length_b 4.326
_cell_length_c 4.720
_cell_angle_alpha 90.00
_cell_angle_beta 90.00
_cell_angle_gamma 90.00
_space_group_name_H-M_alt 'P 4/m m m'
_space_group_IT_number 123
_space_group_name_Hall '-P 4 2'
loop_
_atom_site_label
_atom_site_fract_x
_atom_site_fract_y
_atom_site_fract_z
Y1 0.000 0.000 0.000
Sc1 0.000 0.500 0.500
Si1 0.500 0.500 0.000
O1 0.000 0.000 0.500
```

Results
DFT total energy ... -7.322 eV/atom
Formation energy (no corrections) ... -1421 meV/atom
Magnetization ... 0.00 Bohr magnetons per cell

***

Cs2CdSbI6 | PBE | optimized geometry

Structure (CIF):
```
data_Cs2CdSbI6
_chemical_formula_sum 'Cs4 Cd2 Sb2 I12'
_cell_length_a 8.717
_cell_length_b 8.717
_cell_length_c 12.264
_cell_angle_alpha 90.00
_cell_angle_beta 90.00
_cell_angle_gamma 90.00
_space_group_name_H-M_alt 'I 4/m m m'
_space_group_IT_number 139
_space_group_name_Hall '-I 4 2'
loop_
_atom_site_label
_atom_site_fract_x
_atom_site_fract_y
_atom_site_fract_z
Cs1 0.000 0.500 0.250
Cd1 0.000 0.000 0.000
Sb1 0.000 0.000 0.500
I1 0.000 0.000 0.249
I2 0.249 0.249 0.500
```

Results
DFT total energy ... -2.450 eV/atom
Formation energy (no corrections) ... -846 meV/atom
Magnetization ... 0.00 Bohr magnetons per cell

***

Ti6In2HN | PBE | optimized geometry

Structure (CIF):
```
data_Ti6In2HN
_chemical_formula_sum 'Ti24 In8 H4 N4'
_cell_length_a 8.379
_cell_length_b 8.379
_cell_length_c 8.379
_cell_angle_alpha 90.00
_cell_angle_beta 90.00
_cell_angle_gamma 90.00
_space_group_name_H-M_alt 'F m -3 m'
_space_group_IT_number 225
_space_group_name_Hall '-F 4 2 3'
loop_
_atom_site_label
_atom_site_fract_x
_atom_site_fract_y
_atom_site_fract_z
Ti1 0.000 0.000 0.245
In1 0.250 0.250 0.250
H1 0.000 0.000 0.000
N1 0.000 0.000 0.500
```

Results
DFT total energy ... -7.042 eV/atom
Magnetization ... 0.00 Bohr magnetons per cell